First-principles (meta-GGA SCAN) data for a PBEsol-optimized structure of MnTl2In, as listed in the Alexandria database.

Calculated values
Uncorrected energy   -195.37 eV/cell
Formation enthalpy at 0 K   0.25 eV/atom
Offset from the most stable computed form   163 meV per atom

a = 5.1303 Å, b = 5.1303 Å, c = 5.1303 Å
α = 60.00°, β = 60.00°, γ = 60.00°
Sites, in units of the cell vectors:
In 0.5000 0.5000 0.5000
Mn 0.2500 0.2500 0.2500
Tl 0.0000 0.0000 0.0000
Tl 0.7500 0.7500 0.7500